<1>
The following is a PBE calculation of an optimized crystal structure of Li3Sn2Pd3, from the Alexandria database.

Values from the calculation:
- Symmetry: No. 160

Cell: 7.787 7.787 7.787 Å, 33.56 33.56 33.56°
Positions (direct):
1 Li 0.000 0.000 0.000
2 Li 0.127 0.127 0.127
3 Li 0.626 0.626 0.626
4 Sn 0.377 0.377 0.377
5 Sn 0.874 0.874 0.874
6 Pd 0.252 0.252 0.252
7 Pd 0.502 0.502 0.502
8 Pd 0.750 0.750 0.750



<2>
The following is a PBE calculation of an optimized crystal structure of Li3Sn2Pd3, from the Alexandria database.

Values from the calculation:
- Symmetry: No. 12

Cell: 6.757 6.757 4.900 Å, 111.10 111.10 40.20°
Positions (direct):
1 Li 0.000 0.000 0.000
2 Li 0.116 0.116 0.620
3 Li 0.884 0.884 0.380
4 Sn 0.258 0.258 0.260
5 Sn 0.742 0.742 0.740
6 Pd 0.372 0.372 0.874
7 Pd 0.500 0.500 0.500
8 Pd 0.628 0.628 0.126



Tell me which of them is the most stable. Sure, it is <1>.



<1>
The following is a PBE calculation of an optimized crystal structure of LiSn2Pd4, from the Alexandria database.

Values from the calculation:
- Symmetry: No. 166

Cell: 7.679 7.679 7.679 Å, 33.61 33.61 33.61°
Positions (direct):
1 Li 0.000 0.000 0.000
2 Sn 0.249 0.249 0.249
3 Sn 0.751 0.751 0.751
4 Pd 0.125 0.125 0.125
5 Pd 0.376 0.376 0.376
6 Pd 0.624 0.624 0.624
7 Pd 0.875 0.875 0.875



<2>
The following is a PBE calculation of an optimized crystal structure of LiSn2Pd4, from the Alexandria database.

Values from the calculation:
- Symmetry: No. 139

Cell: 7.561 7.561 7.561 Å, 147.42 147.42 46.74°
Positions (direct):
1 Li 0.000 0.000 0.000
2 Sn 0.365 0.365 0.000
3 Sn 0.635 0.635 0.000
4 Pd 0.000 0.500 0.500
5 Pd 0.177 0.177 0.000
6 Pd 0.500 0.000 0.500
7 Pd 0.823 0.823 0.000



<3>
The following is a PBE calculation of an optimized crystal structure of LiSn2Pd4, from the Alexandria database.

Values from the calculation:
- Symmetry: No. 1

Cell: 6.788 6.922 7.077 Å, 119.10 118.60 90.20°
Positions (direct):
1 Li 0.000 0.000 0.000
2 Li 0.455 0.957 0.912
3 Sn 0.164 0.479 0.456
4 Sn 0.227 0.330 0.956
5 Sn 0.290 0.978 0.456
6 Sn 0.727 0.627 0.956
7 Pd 0.459 0.242 0.342
8 Pd 0.474 0.771 0.169
9 Pd 0.574 0.715 0.570
10 Pd 0.693 0.401 0.170
11 Pd 0.761 0.187 0.746
12 Pd 0.880 0.101 0.340
13 Pd 0.981 0.558 0.744
14 Pd 0.994 0.858 0.571



Tell me which of them is the most stable. Sure, it is <1>.



<1>
The following is a PBE calculation of an optimized crystal structure of Li3Sn3Pd2, from the Alexandria database.

Values from the calculation:
- Symmetry: No. 12

Cell: 8.348 8.348 4.364 Å, 104.87 104.87 30.40°
Positions (direct):
1 Li 0.000 0.000 0.000
2 Li 0.138 0.138 0.639
3 Li 0.862 0.862 0.361
4 Sn 0.357 0.357 0.857
5 Sn 0.500 0.500 0.500
6 Sn 0.643 0.643 0.143
7 Pd 0.243 0.243 0.244
8 Pd 0.757 0.757 0.756



<2>
The following is a PBE calculation of an optimized crystal structure of Li3Sn3Pd2, from the Alexandria database.

Values from the calculation:
- Symmetry: No. 160

Cell: 8.072 8.072 8.072 Å, 33.37 33.37 33.37°
Positions (direct):
1 Li 0.000 0.000 0.000
2 Li 0.123 0.123 0.123
3 Li 0.499 0.499 0.499
4 Sn 0.380 0.380 0.380
5 Sn 0.622 0.622 0.622
6 Sn 0.865 0.865 0.865
7 Pd 0.249 0.249 0.249
8 Pd 0.743 0.743 0.743



Tell me which of them is the most stable. Sure, it is <2>.



<1>
The following is a PBE calculation of an optimized crystal structure of LiSnPd5, from the Alexandria database.

Values from the calculation:
- Symmetry: No. 15

Cell: 5.477 5.477 9.314 Å, 103.29 103.29 63.38°
Positions (direct):
1 Li 0.000 0.500 0.000
2 Li 0.500 0.000 0.500
3 Sn 0.117 0.883 0.750
4 Sn 0.883 0.117 0.250
5 Pd 0.159 0.346 0.737
6 Pd 0.240 0.537 0.503
7 Pd 0.344 0.656 0.250
8 Pd 0.346 0.159 0.237
9 Pd 0.463 0.760 0.997
10 Pd 0.537 0.240 0.003
11 Pd 0.654 0.841 0.763
12 Pd 0.656 0.344 0.750
13 Pd 0.760 0.463 0.497
14 Pd 0.841 0.654 0.263



<2>
The following is a PBE calculation of an optimized crystal structure of LiSnPd5, from the Alexandria database.

Values from the calculation:
- Symmetry: No. 63

Cell: 4.641 4.641 11.026 Å, 90.00 90.00 75.39°
Positions (direct):
1 Li 0.122 0.878 0.750
2 Li 0.878 0.122 0.250
3 Sn 0.500 0.500 0.000
4 Sn 0.500 0.500 0.500
5 Pd 0.058 0.353 0.616
6 Pd 0.058 0.353 0.884
7 Pd 0.353 0.058 0.116
8 Pd 0.353 0.058 0.384
9 Pd 0.453 0.547 0.250
10 Pd 0.547 0.453 0.750
11 Pd 0.647 0.942 0.616
12 Pd 0.647 0.942 0.884
13 Pd 0.942 0.647 0.116
14 Pd 0.942 0.647 0.384



Tell me which of them is the most stable. Sure, it is <2>.



<1>
The following is a PBE calculation of an optimized crystal structure of Li2SnPd4, from the Alexandria database.

Values from the calculation:
- Symmetry: No. 139

Cell: 5.298 5.298 5.298 Å, 108.74 108.74 110.95°
Positions (direct):
1 Li 0.000 0.500 0.500
2 Li 0.500 0.000 0.500
3 Sn 0.000 0.000 0.000
4 Pd 0.000 0.000 0.500
5 Pd 0.000 0.500 0.000
6 Pd 0.500 0.000 0.000
7 Pd 0.500 0.500 0.500



<2>
The following is a PBE calculation of an optimized crystal structure of Li2SnPd4, from the Alexandria database.

Values from the calculation:
- Symmetry: No. 166

Cell: 7.179 7.179 7.179 Å, 35.13 35.13 35.13°
Positions (direct):
1 Li 0.247 0.247 0.247
2 Li 0.753 0.753 0.753
3 Sn 0.500 0.500 0.500
4 Pd 0.112 0.112 0.112
5 Pd 0.368 0.368 0.368
6 Pd 0.632 0.632 0.632
7 Pd 0.888 0.888 0.888



Tell me which of them is the most stable. Sure, it is <2>.



<1>
The following is a PBE calculation of an optimized crystal structure of Li2SnPd5, from the Alexandria database.

Values from the calculation:
- Symmetry: No. 107

Cell: 5.443 5.443 5.443 Å, 107.37 107.37 113.77°
Positions (direct):
1 Li 0.000 0.500 0.500
2 Li 0.500 0.000 0.500
3 Sn 0.499 0.499 0.000
4 Pd 0.000 0.000 0.000
5 Pd 0.000 0.000 0.499
6 Pd 0.000 0.500 0.000
7 Pd 0.500 0.000 0.000
8 Pd 0.500 0.500 0.501



<2>
The following is a PBE calculation of an optimized crystal structure of Li2SnPd5, from the Alexandria database.

Values from the calculation:
- Symmetry: No. 140

Cell: 7.204 7.204 7.204 Å, 125.11 125.11 81.35°
Positions (direct):
1 Li 0.145 0.645 0.790
2 Li 0.355 0.145 0.500
3 Li 0.645 0.855 0.500
4 Li 0.855 0.355 0.210
5 Sn 0.250 0.250 0.000
6 Sn 0.750 0.750 0.000
7 Pd 0.000 0.000 0.000
8 Pd 0.001 0.802 0.500
9 Pd 0.198 0.698 0.199
10 Pd 0.302 0.501 0.500
11 Pd 0.499 0.999 0.801
12 Pd 0.500 0.500 0.000
13 Pd 0.501 0.001 0.199
14 Pd 0.698 0.499 0.500
15 Pd 0.802 0.302 0.801
16 Pd 0.999 0.198 0.500



Tell me which of them is the most stable. Sure, it is <1>.



<1>
The following is a PBE calculation of an optimized crystal structure of LiSn2Pd6, from the Alexandria database.

Values from the calculation:
- Symmetry: No. 12

Cell: 7.339 7.339 4.292 Å, 106.89 106.89 48.78°
Positions (direct):
1 Li 0.000 0.000 0.000
2 Sn 0.338 0.338 0.337
3 Sn 0.662 0.662 0.663
4 Pd 0.079 0.597 0.837
5 Pd 0.228 0.772 0.500
6 Pd 0.403 0.921 0.163
7 Pd 0.597 0.079 0.837
8 Pd 0.772 0.228 0.500
9 Pd 0.921 0.403 0.163



<2>
The following is a PBE calculation of an optimized crystal structure of LiSn2Pd6, from the Alexandria database.

Values from the calculation:
- Symmetry: No. 14

Cell: 6.101 5.560 9.997 Å, 90.00 117.30 90.00°
Positions (direct):
1 Li 0.000 0.000 0.000
2 Li 0.000 0.500 0.500
3 Sn 0.209 0.054 0.748
4 Sn 0.209 0.446 0.248
5 Sn 0.791 0.554 0.752
6 Sn 0.791 0.946 0.252
7 Pd 0.183 0.149 0.472
8 Pd 0.183 0.351 0.972
9 Pd 0.347 0.535 0.767
10 Pd 0.347 0.965 0.267
11 Pd 0.360 0.692 0.505
12 Pd 0.360 0.808 0.005
13 Pd 0.640 0.192 0.995
14 Pd 0.640 0.308 0.495
15 Pd 0.653 0.035 0.733
16 Pd 0.653 0.465 0.233
17 Pd 0.817 0.649 0.028
18 Pd 0.817 0.851 0.528



Tell me which of them is the most stable. Sure, it is <2>.



<1>
The following is a PBE calculation of an optimized crystal structure of Sr2Li2Pd, from the Alexandria database.

Values from the calculation:
- Symmetry: No. 127

Cell: 7.453 7.453 4.992 Å, 90.00 90.00 90.00°
Positions (direct):
1 Sr 0.191 0.309 0.000
2 Sr 0.309 0.809 0.000
3 Sr 0.691 0.191 0.000
4 Sr 0.809 0.691 0.000
5 Li 0.135 0.635 0.500
6 Li 0.365 0.135 0.500
7 Li 0.635 0.865 0.500
8 Li 0.865 0.365 0.500
9 Pd 0.000 0.000 0.500
10 Pd 0.500 0.500 0.500



<2>
The following is a PBE calculation of an optimized crystal structure of Sr2Li2Pd, from the Alexandria database.

Values from the calculation:
- Symmetry: No. 71

Cell: 6.439 6.439 6.439 Å, 134.92 131.28 68.54°
Positions (direct):
1 Sr 0.182 0.182 0.000
2 Sr 0.818 0.818 0.000
3 Li 0.268 0.500 0.768
4 Li 0.732 0.500 0.232
5 Pd 0.500 0.000 0.500



Tell me which of them is the most stable. Sure, it is <2>.



<1>
The following is a PBE calculation of an optimized crystal structure of SrLiPd3, from the Alexandria database.

Values from the calculation:
- Symmetry: No. 194

Cell: 6.313 6.313 5.391 Å, 90.00 90.00 120.00°
Positions (direct):
1 Sr 0.333 0.667 0.250
2 Sr 0.667 0.333 0.750
3 Li 0.000 0.000 0.000
4 Li 0.000 0.000 0.500
5 Pd 0.184 0.368 0.750
6 Pd 0.184 0.816 0.750
7 Pd 0.368 0.184 0.250
8 Pd 0.632 0.816 0.750
9 Pd 0.816 0.184 0.250
10 Pd 0.816 0.632 0.250



<2>
The following is a PBE calculation of an optimized crystal structure of SrLiPd3, from the Alexandria database.

Values from the calculation:
- Symmetry: No. 221

Cell: 5.279 5.279 5.279 Å, 90.00 90.00 90.00°
Positions (direct):
1 Sr 0.000 0.000 0.000
2 Li 0.500 0.500 0.500
3 Pd 0.000 0.000 0.500
4 Pd 0.000 0.500 0.000
5 Pd 0.500 0.000 0.000



<3>
The following is a PBE calculation of an optimized crystal structure of SrLiPd3, from the Alexandria database.

Values from the calculation:
- Symmetry: No. 221

Cell: 4.536 4.536 4.536 Å, 90.00 90.00 90.00°
Positions (direct):
1 Sr 0.000 0.000 0.000
2 Li 0.500 0.500 0.500
3 Pd 0.000 0.500 0.500
4 Pd 0.500 0.000 0.500
5 Pd 0.500 0.500 0.000



Tell me which of them is the most stable. Sure, it is <1>.



<1>
The following is a PBE calculation of an optimized crystal structure of Sr3Li2Pd4, from the Alexandria database.

Values from the calculation:
- Symmetry: No. 12

Cell: 5.891 5.891 8.975 Å, 99.54 99.54 44.19°
Positions (direct):
1 Sr 0.000 0.000 0.000
2 Sr 0.379 0.379 0.620
3 Sr 0.621 0.621 0.380
4 Li 0.320 0.320 0.212
5 Li 0.680 0.680 0.788
6 Pd 0.089 0.089 0.635
7 Pd 0.266 0.266 0.909
8 Pd 0.734 0.734 0.091
9 Pd 0.911 0.911 0.365



<2>
The following is a PBE calculation of an optimized crystal structure of Sr3Li2Pd4, from the Alexandria database.

Values from the calculation:
- Symmetry: No. 12

Cell: 5.993 5.993 8.856 Å, 107.03 107.03 44.47°
Positions (direct):
1 Sr 0.000 0.000 0.000
2 Sr 0.369 0.369 0.299
3 Sr 0.631 0.631 0.701
4 Li 0.317 0.317 0.648
5 Li 0.683 0.683 0.352
6 Pd 0.088 0.088 0.419
7 Pd 0.281 0.281 0.931
8 Pd 0.719 0.719 0.069
9 Pd 0.912 0.912 0.581



Tell me which of them is the most stable. Sure, it is <1>.